HoTm2H8: relaxed, PBE.

calculated total energy = -4.291 eV per atom

Structure (CIF):
```
data_HoTm2H8
_cell_length_a 3.5716
_cell_length_b 5.0666
_cell_length_c 10.7225
_cell_angle_alpha 90.00
_cell_angle_beta 90.00
_cell_angle_gamma 90.00
_space_group_name_H-M_alt 'I m m m'
_space_group_IT_number 71
_space_group_name_Hall '-I 2 2'
loop_
_atom_site_label
_atom_site_fract_x
_atom_site_fract_y
_atom_site_fract_z
Ho1 0.0000 0.0000 0.0000
Tm1 0.0000 0.0000 0.3317
H1 0.0000 0.2266 0.5000
H2 0.0000 0.2613 0.1628
H3 0.0000 0.5000 0.3429
```